[1]
First-principles (PBE) data for an optimized crystal structure of MgCd2Ge, as listed in OQMD via LeMat-Bulk.

## Properties
VASP energy   -7.8 eV per cell
Theoretical density   6.3 Mg/m³
Space group   No. 216

Cell lengths 4.9384, 4.9384, 4.9384 Å; angles 60.00, 60.00, 60.00 degrees
With the nearest neighbours (Å) after each atom.
Sites, in units of the cell vectors:
1 Cd 0.7500 0.7500 0.7500  4 Cd 3.02, 4 Ge 3.02
2 Cd 0.0000 0.0000 0.0000  4 Cd 3.02, 4 Mg 3.02
3 Ge 0.5000 0.5000 0.5000  4 Mg 3.02, 4 Cd 3.02
4 Mg 0.2500 0.2500 0.2500  4 Ge 3.02, 4 Cd 3.02


[2]
First-principles (PBE) data for an optimized crystal structure of MgCdGe2, as listed in OQMD via LeMat-Bulk.

## Properties
VASP energy   -11.2 eV per cell
Theoretical density   5.6 Mg/m³
Space group   No. 216

Cell lengths 4.9116, 4.9116, 4.9116 Å; angles 60.00, 60.00, 60.00 degrees
With the nearest neighbours (Å) after each atom.
Sites, in units of the cell vectors:
1 Ge 0.5000 0.5000 0.5000  4 Ge 3.01, 4 Cd 3.01
2 Ge 0.2500 0.2500 0.2500  4 Ge 3.01, 4 Mg 3.01
3 Cd 0.7500 0.7500 0.7500  4 Mg 3.01, 4 Ge 3.01
4 Mg 0.0000 0.0000 0.0000  4 Cd 3.01, 4 Ge 3.01


[3]
First-principles (PBE) data for an optimized crystal structure of MgCdNiGe, as listed in OQMD via LeMat-Bulk.

## Properties
Energy relative to the lowest polymorph listed for this composition   0.062 eV/atom
VASP energy   -12.3 eV per cell
Theoretical density   6.4 Mg/m³
Spin magnetization   0.00 μB per atom
Space group   No. 216

Cell lengths 4.6169, 4.6169, 4.6169 Å; angles 60.00, 60.00, 60.00 degrees
With the nearest neighbours (Å) after each atom.
Sites, in units of the cell vectors:
1 Cd 0.2500 0.2500 0.2500  4 Ni 2.83, 4 Ge 2.83
2 Ni 0.5000 0.5000 0.5000  4 Cd 2.83, 4 Mg 2.83
3 Mg 0.7500 0.7500 0.7500  4 Ge 2.83, 4 Ni 2.83
4 Ge 0.0000 0.0000 0.0000  4 Cd 2.83, 4 Mg 2.83


[4]
First-principles (PBE) data for an optimized crystal structure of MgCdNiGe, as listed in OQMD via LeMat-Bulk.

## Properties
Energy relative to the lowest polymorph listed for this composition   0.000 eV/atom
VASP energy   -12.5 eV per cell
Theoretical density   6.7 Mg/m³
Spin magnetization   0.00 μB per atom
Space group   No. 216

Cell lengths 4.5400, 4.5400, 4.5400 Å; angles 60.00, 60.00, 60.00 degrees
With the nearest neighbours (Å) after each atom.
Sites, in units of the cell vectors:
1 Cd 0.5000 0.5000 0.5000  4 Mg 2.78, 4 Ni 2.78
2 Mg 0.2500 0.2500 0.2500  4 Cd 2.78, 4 Ge 2.78
3 Ni 0.7500 0.7500 0.7500  4 Ge 2.78, 4 Cd 2.78
4 Ge 0.0000 0.0000 0.0000  4 Ni 2.78, 4 Mg 2.78


[5]
First-principles (PBE) data for an optimized crystal structure of MgCdGeO4, as listed in OQMD via LeMat-Bulk.

## Properties
Energy relative to the lowest polymorph listed for this composition   0.071 eV/atom
VASP energy   -156.8 eV per cell
Theoretical density   5.7 Mg/m³
Space group   No. 91

Cell lengths 6.1914, 6.1914, 8.3713 Å; angles 90.00, 90.00, 90.00 degrees
With the nearest neighbours (Å) after each atom.
Sites, in units of the cell vectors:
1 Ge 0.2544 0.5000 0.7500  6 O 1.90-1.97
2 Ge 0.7456 0.5000 0.2500  6 O 1.90-1.97
3 Ge 0.5000 0.7456 0.5000  6 O 1.90-1.97
4 Ge 0.5000 0.2544 0.0000  6 O 1.90-1.97
5 O 0.4857 0.7159 0.7305  2 Ge 1.94-1.97, 1 Mg 2.02
6 O 0.4857 0.2841 0.7695  2 Ge 1.94-1.97, 1 Mg 2.02
7 O 0.5143 0.2841 0.2305  2 Ge 1.94-1.97, 1 Mg 2.02
8 O 0.9648 0.2886 0.2749  1 Ge 1.90, 1 Mg 2.00
9 O 0.7114 0.0352 0.9751  1 Ge 1.90, 1 Mg 2.00
10 O 0.2841 0.5143 0.5195  2 Ge 1.94-1.97, 1 Mg 2.02
11 O 0.2886 0.9648 0.4751  1 Ge 1.90, 1 Mg 2.00
12 O 0.7159 0.5143 0.4805  2 Ge 1.94-1.97, 1 Mg 2.02
13 O 0.7114 0.9648 0.5249  1 Ge 1.90, 1 Mg 2.00
14 O 0.7159 0.4857 0.0195  2 Ge 1.94-1.97, 1 Mg 2.02
15 O 0.0352 0.2886 0.7251  1 Ge 1.90, 1 Mg 2.00
16 O 0.2886 0.0352 0.0249  1 Ge 1.90, 1 Mg 2.00
17 O 0.5143 0.7159 0.2695  2 Ge 1.94-1.97, 1 Mg 2.02
18 O 0.0352 0.7114 0.7749  1 Ge 1.90, 1 Mg 2.00
19 O 0.2841 0.4857 0.9805  2 Ge 1.94-1.97, 1 Mg 2.02
20 O 0.9648 0.7114 0.2251  1 Ge 1.90, 1 Mg 2.00
21 Cd 0.0000 0.2494 0.0000  6 O 2.23-2.32
22 Cd 0.7506 0.0000 0.2500  6 O 2.23-2.32
23 Cd 0.0000 0.7506 0.5000  6 O 2.23-2.32
24 Cd 0.2494 0.0000 0.7500  6 O 2.23-2.32
25 Mg 0.2555 0.2555 0.3750  4 O 2.00-2.02
26 Mg 0.2555 0.7445 0.1250  4 O 2.00-2.02
27 Mg 0.7445 0.7445 0.8750  4 O 2.00-2.02
28 Mg 0.7445 0.2555 0.6250  4 O 2.00-2.02


[6]
First-principles (PBE) data for an optimized crystal structure of MgCdGeO4, as listed in OQMD via LeMat-Bulk.

## Properties
Energy relative to the lowest polymorph listed for this composition   0.000 eV/atom
VASP energy   -158.8 eV per cell
Theoretical density   5.7 Mg/m³
Space group   No. 91

Cell lengths 6.1190, 6.1190, 8.5463 Å; angles 90.00, 90.00, 90.00 degrees
With the nearest neighbours (Å) after each atom.
Sites, in units of the cell vectors:
1 Cd 0.2408 0.7592 0.1250  4 O 2.13-2.16
2 Cd 0.7592 0.7592 0.8750  4 O 2.13-2.16
3 Cd 0.2408 0.2408 0.3750  4 O 2.13-2.16
4 Cd 0.7592 0.2408 0.6250  4 O 2.13-2.16
5 O 0.9470 0.7317 0.2575  1 Ge 1.88, 2 Mg 2.07-2.10
6 O 0.9470 0.2683 0.2425  1 Ge 1.88, 2 Mg 2.07-2.10
7 O 0.0530 0.2683 0.7575  1 Ge 1.88, 2 Mg 2.07-2.10
8 O 0.7302 0.5231 0.4754  2 Ge 1.93-1.97, 1 Mg 2.14, 1 Cd 2.16
9 O 0.5231 0.2698 0.2254  2 Ge 1.93-1.97, 1 Mg 2.14, 1 Cd 2.16
10 O 0.0530 0.7317 0.7425  1 Ge 1.88, 2 Mg 2.07-2.10
11 O 0.4769 0.7302 0.7254  2 Ge 1.93-1.97, 1 Mg 2.14, 1 Cd 2.16
12 O 0.2683 0.9470 0.5075  1 Ge 1.88, 2 Mg 2.07-2.10
13 O 0.5231 0.7302 0.2746  2 Ge 1.93-1.97, 1 Mg 2.14, 1 Cd 2.16
14 O 0.7302 0.4769 0.0246  2 Ge 1.93-1.97, 1 Mg 2.14, 1 Cd 2.16
15 O 0.4769 0.2698 0.7746  2 Ge 1.93-1.97, 1 Mg 2.14, 1 Cd 2.16
16 O 0.7317 0.0530 0.0075  1 Ge 1.88, 2 Mg 2.07-2.10
17 O 0.2698 0.5231 0.5246  2 Ge 1.93-1.97, 1 Mg 2.14, 1 Cd 2.16
18 O 0.7317 0.9470 0.4925  1 Ge 1.88, 2 Mg 2.07-2.10
19 O 0.2683 0.0530 0.9925  1 Ge 1.88, 2 Mg 2.07-2.10
20 O 0.2698 0.4769 0.9754  2 Ge 1.93-1.97, 1 Mg 2.14, 1 Cd 2.16
21 Mg 0.0000 0.2577 0.0000  6 O 2.07-2.14
22 Mg 0.2577 0.0000 0.7500  6 O 2.07-2.14
23 Mg 0.0000 0.7423 0.5000  6 O 2.07-2.14
24 Mg 0.7423 0.0000 0.2500  6 O 2.07-2.14
25 Ge 0.7457 0.5000 0.2500  6 O 1.88-1.97
26 Ge 0.5000 0.7457 0.5000  6 O 1.88-1.97
27 Ge 0.2543 0.5000 0.7500  6 O 1.88-1.97
28 Ge 0.5000 0.2543 0.0000  6 O 1.88-1.97


[7]
First-principles (PBE) data for an optimized crystal structure of MgCdGeO4, as listed in OQMD via LeMat-Bulk.

## Properties
Energy relative to the lowest polymorph listed for this composition   0.049 eV/atom
VASP energy   -157.5 eV per cell
Theoretical density   5.8 Mg/m³
Space group   No. 91

Cell lengths 6.0702, 6.0702, 8.5389 Å; angles 90.00, 90.00, 90.00 degrees
With the nearest neighbours (Å) after each atom.
Sites, in units of the cell vectors:
1 O 0.5089 0.7290 0.7425  1 Ge 1.80
2 O 0.2710 0.5089 0.9925  1 Ge 1.80
3 O 0.7290 0.5089 0.0075  1 Ge 1.80
4 O 0.0070 0.7281 0.2304  1 Ge 1.79
5 O 0.0070 0.2719 0.2696  1 Ge 1.79
6 O 0.7290 0.4911 0.4925  1 Ge 1.80
7 O 0.7281 0.9930 0.9804  1 Ge 1.79
8 O 0.7281 0.0070 0.5196  1 Ge 1.79
9 O 0.2719 0.9930 0.0196  1 Ge 1.79
10 O 0.9930 0.2719 0.7304  1 Ge 1.79
11 O 0.2719 0.0070 0.4804  1 Ge 1.79
12 O 0.2710 0.4911 0.5075  1 Ge 1.80
13 O 0.4911 0.2710 0.2425  1 Ge 1.80
14 O 0.5089 0.2710 0.7575  1 Ge 1.80
15 O 0.9930 0.7281 0.7696  1 Ge 1.79
16 O 0.4911 0.7290 0.2575  1 Ge 1.80
17 Mg 0.7461 0.5000 0.2500  6 O 2.07-2.11
18 Mg 0.5000 0.7461 0.5000  6 O 2.07-2.11
19 Mg 0.5000 0.2539 0.0000  6 O 2.07-2.11
20 Mg 0.2539 0.5000 0.7500  6 O 2.07-2.11
21 Ge 0.2611 0.7389 0.1250  4 O 1.79-1.80
22 Ge 0.7389 0.2611 0.6250  4 O 1.79-1.80
23 Ge 0.2611 0.2611 0.3750  4 O 1.79-1.80
24 Ge 0.7389 0.7389 0.8750  4 O 1.79-1.80
25 Cd 0.2518 0.0000 0.7500  6 O 2.27-2.31
26 Cd 0.0000 0.7482 0.5000  6 O 2.27-2.31
27 Cd 0.7482 0.0000 0.2500  6 O 2.27-2.31
28 Cd 0.0000 0.2518 0.0000  6 O 2.27-2.31


[8]
First-principles (PBE) data for an optimized crystal structure of MgCdGe2P4, as listed in OQMD via LeMat-Bulk.

## Properties
VASP energy   -35.0 eV per cell
Theoretical density   3.7 Mg/m³
Space group   No. 82

Cell lengths 6.7756, 6.7756, 6.7756 Å; angles 129.30, 129.30, 74.53 degrees
With the nearest neighbours (Å) after each atom.
Sites, in units of the cell vectors:
1 P 0.9033 0.8695 0.5268  2 Ge 2.36, 1 Mg 2.54, 1 Cd 2.59
2 P 0.3427 0.3765 0.4732  2 Ge 2.36, 1 Mg 2.54, 1 Cd 2.59
3 P 0.6235 0.0967 0.9662  2 Ge 2.36, 1 Mg 2.54, 1 Cd 2.59
4 P 0.1305 0.6573 0.0338  2 Ge 2.36, 1 Mg 2.54, 1 Cd 2.59
5 Cd 0.7500 0.2500 0.5000  4 P 2.59
6 Ge 0.2500 0.7500 0.5000  4 P 2.36
7 Ge 0.0000 0.0000 0.0000  4 P 2.36
8 Mg 0.5000 0.5000 0.0000  4 P 2.54


[9]
First-principles (PBE) data for an optimized crystal structure of Mg2Cd2GePb, as listed in OQMD via LeMat-Bulk.

## Properties
VASP energy   -52.0 eV per cell
Theoretical density   6.1 Mg/m³
Space group   No. 6

Cell lengths 11.7667, 4.8038, 11.9885 Å; angles 90.00, 116.63, 90.00 degrees
With the nearest neighbours (Å) after each atom.
Sites, in units of the cell vectors:
1 Ge 0.5395 0.0000 0.7546  4 Cd 2.67-2.84, 1 Mg 2.97
2 Ge 0.8541 0.5000 0.8997  4 Cd 2.72-2.87, 4 Mg 2.87-2.98
3 Ge 0.0151 0.0000 0.2014  4 Mg 2.80-2.93, 3 Cd 2.83-2.85
4 Ge 0.7641 0.0000 0.5143  4 Mg 2.81-2.89, 3 Cd 2.85-3.06
5 Pb 0.3512 0.5000 0.3940  3 Cd 2.96-3.03, 2 Mg 3.12
6 Pb 0.6272 0.5000 0.1457  4 Cd 2.94-3.13, 4 Mg 3.11-3.24
7 Pb 0.1302 0.5000 0.6073  3 Cd 3.03-3.07, 4 Mg 3.04-3.30
8 Pb 0.2596 0.0000 0.9840  4 Cd 2.96-3.29, 2 Mg 3.06
9 Cd 0.9864 0.0000 0.9233  2 Ge 2.81, 1 Pb 2.96, 2 Mg 2.96-3.04
10 Cd 0.3697 0.5000 0.1554  4 Pb 2.96-3.08, 4 Mg 3.03-3.08
11 Cd 0.8817 0.5000 0.6865  1 Ge 2.72, 4 Mg 2.86-2.96
12 Cd 0.8119 0.0000 0.2687  1 Ge 2.85, 4 Mg 3.04-3.14, 2 Pb 3.13
13 Cd 0.6065 0.5000 0.8918  3 Ge 2.82-2.87, 4 Mg 2.88-3.00, 1 Pb 2.94
14 Cd 0.5196 0.0000 0.5096  2 Ge 2.84-2.85, 3 Mg 2.91-2.99, 2 Pb 3.03
15 Cd 0.0140 0.5000 0.3252  2 Ge 2.83, 1 Pb 3.03, 2 Mg 3.03-3.07
16 Cd 0.3032 0.0000 0.7318  1 Ge 2.67, 2 Mg 2.98
17 Mg 0.6216 0.5000 0.6589  4 Cd 2.88-2.93, 3 Ge 2.96-3.00
18 Mg 0.2149 0.0000 0.4488  1 Ge 2.84, 1 Cd 3.07, 2 Pb 3.12
19 Mg 0.0970 0.5000 0.1165  3 Ge 2.87-2.93, 4 Cd 3.03-3.18
20 Mg 0.8206 0.5000 0.4275  2 Ge 2.81, 4 Cd 2.86-3.04, 1 Pb 3.11
21 Mg 0.0306 0.0000 0.6920  1 Ge 2.89, 4 Cd 2.96-3.04, 2 Pb 3.04
22 Mg 0.3586 0.5000 0.8951  4 Cd 2.94-3.06, 3 Pb 3.06-3.24
23 Mg 0.5475 0.0000 0.2740  1 Ge 2.87, 4 Cd 2.99-3.14
24 Mg 0.7751 0.0000 0.9941  4 Ge 2.80-2.98, 4 Cd 2.96-3.12


[10]
First-principles (PBE) data for an optimized crystal structure of Rb4MgCdGe2, as listed in OQMD via LeMat-Bulk.

## Properties
VASP energy   -15.7 eV per cell
Theoretical density   3.4 Mg/m³
Space group   No. 187

Cell lengths 5.0671, 5.0671, 13.5729 Å; angles 90.00, 90.00, 120.00 degrees
With the nearest neighbours (Å) after each atom.
Sites, in units of the cell vectors:
1 Ge 0.6667 0.3333 0.5000  3 Mg 2.93
2 Ge 0.3333 0.6667 0.0000  3 Cd 2.93
3 Cd 0.0000 0.0000 0.0000  3 Ge 2.93
4 Rb 0.6667 0.3333 0.1549  3 Ge 3.60, 3 Cd 3.60, 3 Rb 3.89
5 Rb 0.3333 0.6667 0.6564  3 Ge 3.61, 3 Mg 3.61, 3 Rb 3.89
6 Rb 0.3333 0.6667 0.3436  3 Ge 3.61, 3 Mg 3.61, 3 Rb 3.89
7 Rb 0.6667 0.3333 0.8451  3 Ge 3.60, 3 Cd 3.60, 3 Rb 3.89
8 Mg 0.0000 0.0000 0.5000  3 Ge 2.93